ZnSi3Cl GGA-PBEsol optimized geometry; E_form (uncorrected) = 0.905 eV/atom; final energy = -16.303 eV for the cell shown
1.0
4.7059 0.0000 0.0000
0.0000 4.7059 0.0000
0.0000 0.0000 4.7059
Zn Si Cl
1 3 1
Cartesian
0.0000 0.0000 0.0000
0.0000 0.0000 2.3530
0.0000 2.3530 0.0000
2.3530 0.0000 0.0000
2.3530 2.3530 2.3530